one:
La7Pr3Y, optimized geometry, DFT PBE; total moment = 0.0 μB/f.u.; SG = C2/m; crystal system = monoclinic
1.0
5.9553 -5.1971 0.0000
5.9553 5.1971 0.0000
-0.5623 0.0000 6.6076
La Pr Y
7 3 1
Cartesian
0.0000 0.0000 0.0000
2.7852 1.8439 1.7475
2.6594 0.0000 5.1854
2.7852 -1.8439 1.7475
8.5631 1.8439 4.8601
8.6889 0.0000 1.4222
8.5631 -1.8439 4.8601
5.9553 1.7797 0.0000
5.6741 0.0000 3.3038
5.9553 -1.7797 0.0000
-0.2812 0.0000 3.3038

=====

two:
La7Pr3Y, optimized geometry, DFT PBE; total moment = 0.0 μB/f.u.; SG = P3m1; crystal system = trigonal
1.0
7.3486 0.0000 0.0000
-3.6743 6.3641 0.0000
0.0000 0.0000 8.8821
La Pr Y
7 3 1
Cartesian
0.0000 0.0000 0.0000
-1.8222 3.1907 8.7305
0.0000 2.1367 2.9084
-1.8239 5.2957 2.9084
1.8222 3.1907 8.7305
0.0000 6.3468 8.7305
1.8239 5.2957 2.9084
1.8347 1.0593 5.8225
5.5139 1.0593 5.8225
3.6743 4.2455 5.8225
3.6743 2.1214 2.7960

=====

The computed energies, referenced to the most stable structure and given in kJ/mol of atoms, are one 5.5; two 0.0.

=====

one:
La3Pr7Y2, optimized geometry, DFT PBE; total moment = 0.0 μB/f.u.; SG = P2/m; crystal system = monoclinic
1.0
6.6192 0.0000 0.0000
0.0000 3.6279 0.0000
-1.9530 0.0000 18.0230
La Pr Y
3 7 2
Cartesian
0.0000 0.0000 0.0000
-0.9914 1.8140 11.9256
5.6576 1.8140 6.0974
1.1970 1.8140 3.0401
0.6386 0.0000 9.0383
0.2002 0.0000 14.9782
3.3096 1.8140 0.0000
4.4660 0.0000 3.0447
4.0277 0.0000 8.9846
3.4692 1.8140 14.9829
2.3277 0.0000 5.9510
2.3385 0.0000 12.0720

=====

two:
La3Pr7Y2, optimized geometry, DFT PBE; total moment = 0.0 μB/f.u.; SG = P2/m; crystal system = monoclinic
1.0
5.9579 0.0000 0.0000
0.0000 3.6600 0.0000
-2.9680 0.0000 19.8590
La Pr Y
3 7 2
Cartesian
0.0000 0.0000 0.0000
0.0058 1.8300 12.5452
2.9841 1.8300 7.3138
0.0031 1.8300 2.8918
0.0062 0.0000 9.1811
0.0082 0.0000 16.1511
2.9789 1.8300 0.0000
2.9817 0.0000 3.7079
2.9836 0.0000 10.6779
2.9868 1.8300 16.9672
0.0043 0.0000 5.8578
2.9855 0.0000 14.0012

=====

The computed energies, referenced to the most stable structure and given in kJ/mol of atoms, are one 0.0; two 2.2.

=====

one:
La3PrY3, optimized geometry, DFT PBE; total moment = 0.0 μB/f.u.; SG = R3m; crystal system = trigonal
1.0
5.4232 3.1311 2.4170
-5.4232 3.1311 2.4170
0.0000 -6.2621 2.4170
La Pr Y
3 1 3
Cartesian
0.0000 -2.7198 2.4170
-2.3554 1.3599 2.4170
2.3554 1.3599 2.4170
0.0000 0.0000 1.1514
-3.4601 -1.9977 3.3820
3.4601 -1.9977 3.3819
0.0000 3.9954 3.3819

=====

two:
La3PrY3, optimized geometry, DFT PBE; total moment = 0.0 μB/f.u.; SG = R-3; crystal system = trigonal
1.0
4.7833 2.7616 6.3219
-4.7833 2.7616 6.3219
0.0000 -5.5233 6.3219
La Pr Y
6 2 6
Cartesian
-0.6704 -3.5255 7.7709
-3.3884 -1.1822 11.1948
-2.7180 2.3433 7.7709
2.7180 -2.3433 11.1949
3.3884 1.1822 7.7709
0.6704 3.5255 11.1949
0.0000 0.0000 7.7514
0.0000 0.0000 11.2144
-1.3668 -1.5429 4.9105
-0.6528 1.9551 4.9105
2.0196 -0.4122 4.9105
-2.0196 0.4122 14.0552
0.6528 -1.9551 14.0552
1.3668 1.5429 14.0552

=====

The computed energies, referenced to the most stable structure and given in kJ/mol of atoms, are one 8.9; two 0.0.

=====

one:
La7Pr3Y2, optimized geometry, DFT PBE; total moment = 0.0 μB/f.u.; SG = P2/m; crystal system = monoclinic
1.0
5.9716 0.0000 0.0000
0.0000 3.6517 0.0000
-2.9514 0.0000 19.8681
La Pr Y
7 3 2
Cartesian
0.0000 0.0000 0.0000
0.0024 1.8259 3.7610
0.0172 1.8259 10.6210
0.0280 0.0000 16.9679
2.9922 0.0000 2.9002
3.0030 1.8259 9.2471
3.0178 1.8259 16.1072
0.0018 0.0000 7.2745
2.9858 1.8259 0.0000
3.0183 0.0000 12.5936
0.0341 1.8259 13.9696
2.9860 1.8259 5.8985

=====

two:
La7Pr3Y2, optimized geometry, DFT PBE; total moment = 0.0 μB/f.u.; SG = P2/m; crystal system = monoclinic
1.0
6.6281 0.0000 0.0000
0.0000 3.6135 0.0000
-1.8789 0.0000 18.0117
La Pr Y
7 3 2
Cartesian
0.0000 0.0000 0.0000
1.1482 1.8067 3.0778
0.8112 1.8067 8.8695
0.2314 0.0000 14.9828
4.5178 0.0000 3.0290
3.9379 1.8067 9.1422
3.6010 1.8067 14.9339
2.3838 0.0000 6.0540
3.3140 1.8067 0.0000
2.3654 0.0000 11.9578
-0.8905 1.8067 12.0523
5.6397 1.8067 5.9594

=====

The computed energies, referenced to the most stable structure and given in kJ/mol of atoms, are one 2.3; two 0.0.